The following is a DFT calculation (GGA+U) of a relaxed structure of EuHfCrSnO6.

```
EuHfCrSnO6
1.0
0.0000 4.0072 4.0072
4.0072 0.0000 4.0072
4.0072 4.0072 0.0000
Eu Hf Cr Sn O
1 1 1 1 6
Cartesian
0.0000 0.0000 0.0000 Eu
2.0036 2.0036 2.0036 Hf
6.0108 6.0108 6.0108 Cr
4.0072 4.0072 4.0072 Sn
6.0108 6.0108 4.0548 O
6.0108 4.0548 6.0108 O
7.9667 6.0108 6.0108 O
4.0548 6.0108 6.0108 O
6.0108 7.9667 6.0108 O
6.0108 6.0108 7.9667 O
```

Properties
Space group = No. 216
Total energy = -8.505 eV/atom